Cr2SnF | PBE with a Hubbard U | optimized geometry

The structure in POSCAR format:
```
Cr2SnF
1.0
-3.368 3.368 3.434
3.368 -3.368 3.434
3.368 3.368 -3.434
Cr Sn F
4 2 2
Cartesian
5.052 1.215 -0.859
1.215 1.684 0.859
-1.684 2.153 2.576
2.153 1.684 4.293
3.368 0.000 1.717
0.000 0.000 3.434
0.000 0.000 0.000
0.000 3.368 1.717
```

Calculated values
energy above the lowest structure with this stoichiometry: 0.000 eV per atom
size of the total moment: 9.011 μB/f.u.
space group: No. 122